# 1
KPd3Rh4O12 after structural relaxation, computed with PBE.

Summary:
Symmetry   Im-3 (204)
Uncorrected formation energy   -0.6536 eV/atom

Lattice parameters (Å, degrees): 6.6283 6.6283 6.6283 109.47 109.47 109.47
With the nearest neighbours (Å) after each atom.
Atoms (fractional coordinates):
1 K 0.0000 0.0000 0.0000  12 O 2.77
2 Pd 0.0000 0.5000 0.5000  4 O 2.00
3 Pd 0.5000 0.0000 0.5000  4 O 2.00
4 Pd 0.5000 0.5000 0.0000  4 O 2.00
5 Rh 0.0000 0.0000 0.5000  6 O 2.04
6 Rh 0.0000 0.5000 0.0000  6 O 2.04
7 Rh 0.5000 0.0000 0.0000  6 O 2.04
8 Rh 0.5000 0.5000 0.5000  6 O 2.04
9 O 0.1305 0.8180 0.3125  1 Pd 2.00, 2 Rh 2.04
10 O 0.1820 0.3125 0.4945  1 Pd 2.00, 2 Rh 2.04
11 O 0.1820 0.6875 0.8695  1 Pd 2.00, 2 Rh 2.04
12 O 0.3125 0.1305 0.8180  1 Pd 2.00, 2 Rh 2.04
13 O 0.3125 0.4945 0.1820  1 Pd 2.00, 2 Rh 2.04
14 O 0.4945 0.1820 0.3125  1 Pd 2.00, 2 Rh 2.04
15 O 0.5055 0.8180 0.6875  1 Pd 2.00, 2 Rh 2.04
16 O 0.6875 0.5055 0.8180  1 Pd 2.00, 2 Rh 2.04
17 O 0.6875 0.8695 0.1820  1 Pd 2.00, 2 Rh 2.04
18 O 0.8180 0.3125 0.1305  1 Pd 2.00, 2 Rh 2.04
19 O 0.8180 0.6875 0.5055  1 Pd 2.00, 2 Rh 2.04
20 O 0.8695 0.1820 0.6875  1 Pd 2.00, 2 Rh 2.04



# 2
KCd3Au3 after structural relaxation, computed with PBE.

Summary:
Symmetry   P6_3/m (176)
Energy relative to the elements   -163 meV per atom
Offset from the most stable computed form   0 meV/atom

Lattice parameters (Å, degrees): 9.6477 9.6477 4.2726 90.00 90.00 120.00
With the nearest neighbours (Å) after each atom.
Atoms (fractional coordinates):
1 K 0.3333 0.6667 0.2500  9 Au 3.18-3.40
2 K 0.6667 0.3333 0.7500  9 Au 3.18-3.40
3 Cd 0.0503 0.2581 0.7500  3 Au 2.83-2.87, 4 Cd 3.13
4 Cd 0.2078 0.9497 0.7500  3 Au 2.83-2.87, 4 Cd 3.13
5 Cd 0.2581 0.2078 0.2500  3 Au 2.83-2.87, 4 Cd 3.13
6 Cd 0.7419 0.7922 0.7500  3 Au 2.83-2.87, 4 Cd 3.13
7 Cd 0.7922 0.0503 0.2500  3 Au 2.83-2.87, 4 Cd 3.13
8 Cd 0.9497 0.7419 0.2500  3 Au 2.83-2.87, 4 Cd 3.13
9 Au 0.0333 0.6060 0.7500  2 Au 2.80, 3 Cd 2.83-2.87
10 Au 0.3940 0.4273 0.7500  2 Au 2.80, 3 Cd 2.83-2.87
11 Au 0.4273 0.0333 0.2500  2 Au 2.80, 3 Cd 2.83-2.87
12 Au 0.5727 0.9667 0.7500  2 Au 2.80, 3 Cd 2.83-2.87
13 Au 0.6060 0.5727 0.2500  2 Au 2.80, 3 Cd 2.83-2.87
14 Au 0.9667 0.3940 0.2500  2 Au 2.80, 3 Cd 2.83-2.87



# 3
NbZnPt6 after structural relaxation, computed with PBE.

Summary:
Symmetry   P4/mmm (123)
Energy relative to the elements   -566 meV per atom

Lattice parameters (Å, degrees): 3.9823 3.9823 7.8702 90.00 90.00 90.00
With the nearest neighbours (Å) after each atom.
Atoms (fractional coordinates):
1 Nb 0.0000 0.0000 0.0000  12 Pt 2.79-2.82
2 Zn 0.0000 0.0000 0.5000  12 Pt 2.81-2.82
3 Pt 0.0000 0.5000 0.2480  2 Nb 2.79, 8 Pt 2.79-2.82, 2 Zn 2.81
4 Pt 0.0000 0.5000 0.7520  2 Nb 2.79, 8 Pt 2.79-2.82, 2 Zn 2.81
5 Pt 0.5000 0.0000 0.2480  2 Nb 2.79, 8 Pt 2.79-2.82, 2 Zn 2.81
6 Pt 0.5000 0.0000 0.7520  2 Nb 2.79, 8 Pt 2.79-2.82, 2 Zn 2.81
7 Pt 0.5000 0.5000 0.0000  8 Pt 2.79, 4 Nb 2.82
8 Pt 0.5000 0.5000 0.5000  8 Pt 2.81, 4 Zn 2.82



# 4
Zr2FeRh after structural relaxation, computed with PBE.

Summary:
Symmetry   R3m (160)
Energy relative to the elements   -24 meV per atom

Lattice parameters (Å, degrees): 6.1531 6.1531 6.1531 37.83 37.83 37.83
With the nearest neighbours (Å) after each atom.
Atoms (fractional coordinates):
1 Zr 0.0000 0.0000 0.0000  3 Fe 2.83, 3 Rh 2.86
2 Zr 0.1955 0.1955 0.1955  3 Rh 2.83, 3 Fe 2.86
3 Fe 0.4293 0.4293 0.4293  3 Rh 2.30
4 Rh 0.7659 0.7659 0.7659  3 Fe 2.30



# 5
FeBiRu2 after structural relaxation, computed with PBE.

Summary:
Symmetry   I-42d (122)
Energy relative to the elements   1010 meV per atom

Lattice parameters (Å, degrees): 6.9170 6.9170 6.9170 132.63 132.63 69.24
With the nearest neighbours (Å) after each atom.
Atoms (fractional coordinates):
1 Fe 0.0000 0.0000 0.0000  4 Ru 2.22
2 Fe 0.7500 0.2500 0.5000  4 Ru 2.22
3 Bi 0.2500 0.7500 0.5000  4 Ru 2.68
4 Bi 0.5000 0.5000 0.0000  4 Ru 2.68
5 Ru 0.0523 0.6250 0.9273  2 Fe 2.22
6 Ru 0.3750 0.3023 0.4273  2 Fe 2.22
7 Ru 0.6977 0.1250 0.0727  2 Fe 2.22
8 Ru 0.8750 0.9477 0.5727  2 Fe 2.22



# 6
KScCr3 after structural relaxation, computed with PBE.

Summary:
Symmetry   Pm-3m (221)
Energy relative to the elements   1623 meV per atom
Offset from the most stable computed form   0 meV/atom

Lattice parameters (Å, degrees): 5.1415 5.1415 5.1415 90.00 90.00 90.00
With the nearest neighbours (Å) after each atom.
Atoms (fractional coordinates):
1 K 0.0000 0.0000 0.0000  12 Cr 3.64
2 Sc 0.5000 0.5000 0.5000  6 Cr 2.57
3 Cr 0.0000 0.5000 0.5000  2 Sc 2.57
4 Cr 0.5000 0.0000 0.5000  2 Sc 2.57
5 Cr 0.5000 0.5000 0.0000  2 Sc 2.57



# 7
UHRh2 after structural relaxation, computed with PBE.

Summary:
Symmetry   R-3m (166)

Lattice parameters (Å, degrees): 7.3963 7.3963 7.3963 22.51 22.51 22.51
With the nearest neighbours (Å) after each atom.
Atoms (fractional coordinates):
1 U 0.0000 0.0000 0.0000  6 U 2.89, 6 Rh 2.93
2 H 0.5000 0.5000 0.5000  6 Rh 2.05
3 Rh 0.2216 0.2216 0.2216  3 H 2.05
4 Rh 0.7784 0.7784 0.7784  3 H 2.05



# 8
La2SN after structural relaxation, computed with PBE.

Summary:
Symmetry   Fm-3m (225)
Offset from the most stable computed form   619 meV/atom
Uncorrected formation energy   -1.1444 eV/atom

Lattice parameters (Å, degrees): 4.7923 4.7923 4.7923 60.00 60.00 60.00
With the nearest neighbours (Å) after each atom.
Atoms (fractional coordinates):
1 La 0.2500 0.2500 0.2500  4 S 2.93, 4 N 2.93
2 La 0.7500 0.7500 0.7500  4 S 2.93, 4 N 2.93
3 S 0.0000 0.0000 0.0000  8 La 2.93
4 N 0.5000 0.5000 0.5000  8 La 2.93



# 9
RbAsPSe2 after structural relaxation, computed with PBE.

Summary:
Symmetry   P4/mmm (123)
Offset from the most stable computed form   1816 meV/atom
Uncorrected formation energy   1.8546 eV/atom

Lattice parameters (Å, degrees): 5.8231 5.8231 5.7214 90.00 90.00 90.00
With the nearest neighbours (Å) after each atom.
Atoms (fractional coordinates):
1 Rb 0.0000 0.0000 0.0000  2 As 2.86, 4 Se 2.91
2 As 0.0000 0.0000 0.5000  2 Rb 2.86
3 P 0.5000 0.5000 0.5000  8 Se 4.08, 4 As 4.12
4 Se 0.0000 0.5000 0.0000  2 Rb 2.91
5 Se 0.5000 0.0000 0.0000  2 Rb 2.91



# 10
Mg3Si4 after structural relaxation, computed with PBE.

Summary:
Symmetry   P2/m (10)
Offset from the most stable computed form   81 meV/atom
Uncorrected formation energy   0.1331 eV/atom

Lattice parameters (Å, degrees): 5.9252 4.2606 9.9871 90.00 96.50 90.00
With the nearest neighbours (Å) after each atom.
Atoms (fractional coordinates):
1 Mg 0.0000 0.0000 0.0000  8 Si 2.79-2.81, 4 Mg 2.99-3.01
2 Mg 0.0000 0.5000 0.5000  8 Si 2.93-3.25, 4 Mg 3.13
3 Mg 0.1446 0.0000 0.2965  5 Si 2.75-2.93, 1 Mg 2.99
4 Mg 0.4051 0.0000 0.8431  7 Si 2.80-3.12, 1 Mg 3.01
5 Mg 0.5949 0.0000 0.1569  7 Si 2.80-3.12, 1 Mg 3.01
6 Mg 0.8554 0.0000 0.7035  5 Si 2.75-2.93, 1 Mg 2.99
7 Si 0.0791 0.5000 0.8311  2 Si 2.56-2.58, 4 Mg 2.75-2.79
8 Si 0.2994 0.5000 0.0687  2 Si 2.56-2.58, 4 Mg 2.81-2.83
9 Si 0.3345 0.0000 0.5607  3 Si 2.42-2.48
10 Si 0.4754 0.5000 0.3665  3 Si 2.48-2.65
11 Si 0.5246 0.5000 0.6335  3 Si 2.48-2.65
12 Si 0.6655 0.0000 0.4393  3 Si 2.42-2.48
13 Si 0.7006 0.5000 0.9313  2 Si 2.56-2.58, 4 Mg 2.81-2.83
14 Si 0.9209 0.5000 0.1689  2 Si 2.56-2.58, 4 Mg 2.75-2.79



# 11
LiCeSn after structural relaxation, computed with PBE.

Summary:
Symmetry   P-6m2 (187)
Energy relative to the elements   -457 meV per atom

Lattice parameters (Å, degrees): 4.8871 4.8871 3.6296 90.00 90.00 120.00
With the nearest neighbours (Å) after each atom.
Atoms (fractional coordinates):
1 Li 0.0000 0.0000 0.0000  3 Sn 2.82
2 Ce 0.6667 0.3333 0.5000  6 Li 3.35, 6 Sn 3.35, 2 Ce 3.63
3 Sn 0.3333 0.6667 0.0000  3 Li 2.82



# 12
K2ScMoS after structural relaxation, computed with PBE.

Summary:
Symmetry   P4/mmm (123)
Uncorrected formation energy   0.8312 eV/atom

Lattice parameters (Å, degrees): 6.8260 6.8260 4.4902 90.00 90.00 90.00
With the nearest neighbours (Å) after each atom.
Atoms (fractional coordinates):
1 K 0.0000 0.5000 0.0000  2 Mo 3.41
2 K 0.5000 0.0000 0.0000  2 Mo 3.41
3 Sc 0.0000 0.0000 0.5000  8 K 4.09, 2 Sc 4.49
4 Mo 0.5000 0.5000 0.0000  2 S 2.25
5 S 0.5000 0.5000 0.5000  2 Mo 2.25



# 13
Ba2CaPt4Pb3 after structural relaxation, computed with PBE.

Summary:
Symmetry   P-4m2 (115)
Energy relative to the elements   -601 meV per atom

Lattice parameters (Å, degrees): 4.8888 4.8888 11.3731 90.00 90.00 90.00
With the nearest neighbours (Å) after each atom.
Atoms (fractional coordinates):
1 Ba 0.0000 0.5000 0.2300  8 Pt 3.58-3.78, 7 Pb 3.68-3.96, 2 Ca 3.92
2 Ba 0.5000 0.0000 0.7700  8 Pt 3.58-3.78, 7 Pb 3.68-3.96, 2 Ca 3.92
3 Ca 0.0000 0.0000 0.5000  4 Pt 2.89
4 Pt 0.0000 0.0000 0.0000  4 Pb 2.79
5 Pt 0.0000 0.5000 0.6360  3 Pb 2.79-2.89, 2 Ca 2.89
6 Pt 0.5000 0.0000 0.3640  3 Pb 2.79-2.89, 2 Ca 2.89
7 Pt 0.5000 0.5000 0.0000  4 Pb 2.79
8 Pb 0.0000 0.5000 0.8817  5 Pt 2.79
9 Pb 0.5000 0.0000 0.1183  5 Pt 2.79
10 Pb 0.5000 0.5000 0.5000  4 Pt 2.89



# 14
Pu6Si2Ge after structural relaxation, computed with PBE.

Summary:
Symmetry   Immm (71)
Uncorrected formation energy   -0.1943 eV/atom

Lattice parameters (Å, degrees): 8.1492 8.1492 8.1492 118.65 110.64 99.67
With the nearest neighbours (Å) after each atom.
Atoms (fractional coordinates):
1 Pu 0.0345 0.8172 0.2173  3 Si 2.91-3.03, 4 Pu 3.16-3.19, 1 Ge 3.25
2 Pu 0.2446 0.5468 0.3022  2 Si 2.89-2.90, 2 Ge 3.05-3.15, 2 Pu 3.19
3 Pu 0.2446 0.9424 0.6978  2 Si 2.89-2.90, 2 Ge 3.05-3.15, 2 Pu 3.19
4 Pu 0.2811 0.2925 0.5736  3 Si 2.89-2.94, 2 Ge 3.13-3.17, 2 Pu 3.16
5 Pu 0.2811 0.7075 0.9885  3 Si 2.89-2.94, 2 Ge 3.13-3.17, 2 Pu 3.16
6 Pu 0.4001 0.1828 0.2173  3 Si 2.91-3.03, 4 Pu 3.16-3.19, 1 Ge 3.25
7 Pu 0.5999 0.8172 0.7827  3 Si 2.91-3.03, 4 Pu 3.16-3.19, 1 Ge 3.25
8 Pu 0.7189 0.2925 0.0115  3 Si 2.89-2.94, 2 Ge 3.13-3.17, 2 Pu 3.16
9 Pu 0.7189 0.7075 0.4264  3 Si 2.89-2.94, 2 Ge 3.13-3.17, 2 Pu 3.16
10 Pu 0.7554 0.0576 0.3022  2 Si 2.89-2.90, 2 Ge 3.05-3.15, 2 Pu 3.19
11 Pu 0.7554 0.4532 0.6978  2 Si 2.89-2.90, 2 Ge 3.05-3.15, 2 Pu 3.19
12 Pu 0.9655 0.1828 0.7827  3 Si 2.91-3.03, 4 Pu 3.16-3.19, 1 Ge 3.25
13 Si 0.0000 0.1437 0.1437  1 Si 2.39
14 Si 0.0000 0.8563 0.8563  1 Si 2.39
15 Si 0.3825 0.3825 0.0000  1 Si 2.47
16 Si 0.6175 0.6175 0.0000  1 Si 2.47
17 Ge 0.0000 0.5000 0.5000  2 Si 2.96, 8 Pu 3.05-3.13
18 Ge 0.5000 0.0000 0.5000  12 Pu 3.15-3.25



# 15
AcNd5DyY2 after structural relaxation, computed with PBE.

Summary:
Symmetry   Cmc2_1 (36)
Energy relative to the elements   79 meV per atom

Lattice parameters (Å, degrees): 9.2929 9.2929 12.2584 90.00 90.00 143.23
With the nearest neighbours (Å) after each atom.
Atoms (fractional coordinates):
1 Ac 0.1158 0.8842 0.5000  2 Y 3.57, 6 Nd 3.58-3.98, 2 Dy 3.79
2 Ac 0.8842 0.1158 0.0000  2 Y 3.57, 6 Nd 3.58-3.98, 2 Dy 3.79
3 Nd 0.0775 0.9225 0.8424  5 Nd 3.53-3.94, 1 Dy 3.57, 4 Y 3.57-3.83, 1 Ac 3.92
4 Nd 0.0791 0.9209 0.1636  5 Nd 3.53-3.94, 1 Dy 3.58, 4 Y 3.60-3.75
5 Nd 0.2671 0.7329 0.2955  3 Nd 3.19-3.52, 1 Y 3.29
6 Nd 0.2677 0.7323 0.7066  2 Nd 3.19, 2 Y 3.28-3.49
7 Nd 0.4381 0.5619 0.1479  3 Y 3.34-3.61, 1 Nd 3.52, 2 Ac 3.58
8 Nd 0.5619 0.4381 0.6479  3 Y 3.34-3.61, 1 Nd 3.52, 2 Ac 3.58
9 Nd 0.7323 0.2677 0.2066  2 Nd 3.19, 2 Y 3.28-3.49
10 Nd 0.7329 0.2671 0.7955  3 Nd 3.19-3.52, 1 Y 3.29
11 Nd 0.9209 0.0791 0.6636  5 Nd 3.53-3.94, 1 Dy 3.58, 4 Y 3.60-3.75
12 Nd 0.9225 0.0775 0.3424  5 Nd 3.53-3.94, 1 Dy 3.57, 4 Y 3.57-3.83, 1 Ac 3.92
13 Dy 0.2476 0.7524 0.0006  9 Nd 3.57-3.88, 3 Y 3.77-3.81, 2 Ac 3.79
14 Dy 0.7524 0.2476 0.5006  9 Nd 3.57-3.88, 3 Y 3.77-3.81, 2 Ac 3.79
15 Y 0.3869 0.6131 0.5010  7 Nd 3.28-3.60, 1 Y 3.59
16 Y 0.4375 0.5625 0.8530  3 Nd 3.34-3.61, 2 Ac 3.57, 1 Y 3.59
17 Y 0.5625 0.4375 0.3530  3 Nd 3.34-3.61, 2 Ac 3.57, 1 Y 3.59
18 Y 0.6131 0.3869 0.0010  7 Nd 3.28-3.60, 1 Y 3.59



# 16
Ca4TaBe after structural relaxation, computed with PBE.

Summary:
Symmetry   F-43m (216)
Energy relative to the elements   1223 meV per atom

Lattice parameters (Å, degrees): 6.3180 6.3180 6.3180 60.00 60.00 60.00
With the nearest neighbours (Å) after each atom.
Atoms (fractional coordinates):
1 Ca 0.1248 0.1248 0.1248  6 Ca 3.15-3.16
2 Ca 0.1248 0.1248 0.6255  6 Ca 3.15-3.16
3 Ca 0.1248 0.6255 0.1248  6 Ca 3.15-3.16
4 Ca 0.6255 0.1248 0.1248  6 Ca 3.15-3.16
5 Ta 0.7500 0.7500 0.7500  12 Ca 3.70, 4 Be 3.87
6 Be 0.5000 0.5000 0.5000  12 Ca 3.70, 4 Ta 3.87



# 17
LaThMgZn after structural relaxation, computed with PBE.

Summary:
Symmetry   F-43m (216)
Energy relative to the elements   -68 meV per atom

Lattice parameters (Å, degrees): 5.3643 5.3643 5.3643 60.00 60.00 60.00
With the nearest neighbours (Å) after each atom.
Atoms (fractional coordinates):
1 La 0.0000 0.0000 0.0000  4 Zn 3.28, 4 Mg 3.28
2 Th 0.5000 0.5000 0.5000  4 Mg 3.28, 4 Zn 3.28
3 Mg 0.7500 0.7500 0.7500  4 La 3.28, 4 Th 3.28
4 Zn 0.2500 0.2500 0.2500  4 Th 3.28, 4 La 3.28



# 18
HWSN2 after structural relaxation, computed with PBE.

Summary:
Symmetry   P4/mmm (123)
Offset from the most stable computed form   727 meV/atom

Lattice parameters (Å, degrees): 3.8708 3.8708 2.8899 90.00 90.00 90.00
With the nearest neighbours (Å) after each atom.
Atoms (fractional coordinates):
1 H 0.0000 0.0000 0.0000  2 S 1.44
2 W 0.5000 0.5000 0.5000  8 N 2.42
3 S 0.0000 0.0000 0.5000  2 H 1.44
4 N 0.0000 0.5000 0.0000  2 H 1.94
5 N 0.5000 0.0000 0.0000  2 H 1.94



# 19
KThTe3 after structural relaxation, computed with PBE.

Summary:
Symmetry   C2/m (12)
Offset from the most stable computed form   0 meV/atom
Uncorrected formation energy   -0.9956 eV/atom

Lattice parameters (Å, degrees): 9.0439 9.0439 8.5747 101.83 101.83 40.44
With the nearest neighbours (Å) after each atom.
Atoms (fractional coordinates):
1 K 0.1363 0.1363 0.3680  6 Te 3.50-3.81
2 K 0.8637 0.8637 0.6320  6 Te 3.50-3.81
3 Th 0.3527 0.3527 0.1029  6 Te 2.93-3.25
4 Th 0.6473 0.6473 0.8971  6 Te 2.93-3.25
5 Te 0.1670 0.1670 0.9410  3 Th 3.15-3.16
6 Te 0.3537 0.3537 0.4452  1 Th 2.93
7 Te 0.4568 0.4568 0.8271  2 Te 3.01-3.36, 2 Th 3.16-3.25
8 Te 0.5432 0.5432 0.1729  2 Te 3.01-3.36, 2 Th 3.16-3.25
9 Te 0.6463 0.6463 0.5548  1 Th 2.93
10 Te 0.8330 0.8330 0.0590  3 Th 3.15-3.16



# 20
Hg2PdSe2 after structural relaxation, computed with PBE.

Summary:
Symmetry   P4/mbm (127)
Offset from the most stable computed form   111 meV/atom
Uncorrected formation energy   0.0164 eV/atom

Lattice parameters (Å, degrees): 7.2989 7.2989 4.3668 90.00 90.00 90.00
With the nearest neighbours (Å) after each atom.
Atoms (fractional coordinates):
1 Hg 0.1355 0.3645 0.0000  2 Se 2.74, 1 Hg 2.80
2 Hg 0.3645 0.8645 0.0000  2 Se 2.74, 1 Hg 2.80
3 Hg 0.6355 0.1355 0.0000  2 Se 2.74, 1 Hg 2.80
4 Hg 0.8645 0.6355 0.0000  2 Se 2.74, 1 Hg 2.80
5 Pd 0.0000 0.0000 0.5000  4 Se 2.63
6 Pd 0.5000 0.5000 0.5000  4 Se 2.63
7 Se 0.2033 0.7033 0.5000  2 Pd 2.63, 2 Hg 2.74
8 Se 0.2967 0.2033 0.5000  2 Pd 2.63, 2 Hg 2.74
9 Se 0.7033 0.7967 0.5000  2 Pd 2.63, 2 Hg 2.74
10 Se 0.7967 0.2967 0.5000  2 Pd 2.63, 2 Hg 2.74



Sequential uncorrected energy output: -5.933, -2.117, -6.514, -8.251, -6.714, -5.637, -7.404, -6.721, -1.745, -3.649, -4.408, -3.866, -4.715, -11.467, -4.974, -2.707, -3.872, -5.824, -4.584, -2.537 eV/atom